DFT (PBE) results for a relaxed Na2TlZnF8 crystal.

a b c (Å): 4.8715 6.8136 5.2434
angles (deg): 90.00 92.68 90.00
With the nearest neighbours (Å) after each atom.
Fractional positions:
Na 0.0000 0.2391 0.0000  6 F 2.27-2.33
Na 0.0000 0.7609 0.0000  6 F 2.27-2.33
Tl 0.5000 0.5000 0.5000  6 F 2.10-2.28
Zn 0.5000 0.0000 0.5000  6 F 1.88-2.06
F 0.1680 0.5000 0.2285  1 Tl 2.10, 2 Na 2.27
F 0.2011 0.0000 0.2599  1 Zn 1.88
F 0.3370 0.2300 0.6992  1 Zn 2.06, 1 Tl 2.28
F 0.3370 0.7700 0.6992  1 Zn 2.06, 1 Tl 2.28
F 0.6630 0.2300 0.3008  1 Zn 2.06, 1 Tl 2.28
F 0.6630 0.7700 0.3008  1 Zn 2.06, 1 Tl 2.28
F 0.7989 0.0000 0.7401  1 Zn 1.88
F 0.8320 0.5000 0.7715  1 Tl 2.10, 2 Na 2.27

Summary:
Density of states at the Fermi level, states/eV/cell: 4.6
Total magnetic moment, μB per formula unit: 1.1

***

DFT (PBE) results for a relaxed NaTlZn2F6 crystal.

a b c (Å): 7.2983 7.2983 5.4674
angles (deg): 90.75 90.75 82.84
With the nearest neighbours (Å) after each atom.
Fractional positions:
Na 0.1389 0.8611 0.7500  8 F 2.44-2.67
Na 0.8611 0.1389 0.2500  8 F 2.44-2.67
Tl 0.4318 0.5682 0.2500  4 F 2.50-2.51
Tl 0.5682 0.4318 0.7500  4 F 2.50-2.51
Zn 0.0735 0.3746 0.7492  6 F 2.08-2.16
Zn 0.3746 0.0735 0.2492  6 F 2.08-2.16
Zn 0.6254 0.9265 0.7508  6 F 2.08-2.16
Zn 0.9265 0.6254 0.2508  6 F 2.08-2.16
F 0.1452 0.5802 0.9875  2 Zn 2.09-2.16
F 0.1452 0.5808 0.4993  2 Zn 2.08-2.16
F 0.1646 0.1651 0.4936  2 Zn 2.09-2.11
F 0.1651 0.1646 0.9936  2 Zn 2.09-2.11
F 0.4192 0.8548 0.0007  2 Zn 2.08-2.16
F 0.4198 0.8548 0.5125  2 Zn 2.09-2.16
F 0.5802 0.1452 0.4875  2 Zn 2.09-2.16
F 0.5808 0.1452 0.9993  2 Zn 2.08-2.16
F 0.8349 0.8354 0.0064  2 Zn 2.09-2.11
F 0.8354 0.8349 0.5064  2 Zn 2.09-2.11
F 0.8548 0.4192 0.5007  2 Zn 2.08-2.16
F 0.8548 0.4198 0.0125  2 Zn 2.09-2.16

Summary:
Density of states at the Fermi level, states/eV/cell: 0.0
Total magnetic moment, μB per formula unit: 0.0

***

DFT (PBE) results for a relaxed NaTmF5 crystal.

a b c (Å): 7.5188 7.5188 6.0301
angles (deg): 90.51 90.51 147.77
With the nearest neighbours (Å) after each atom.
Fractional positions:
Na 0.1719 0.8281 0.7500  6 F 2.34-2.46
Na 0.8281 0.1719 0.2500  6 F 2.34-2.46
Tm 0.4241 0.5759 0.7500  8 F 2.18-2.33
Tm 0.5759 0.4241 0.2500  8 F 2.18-2.33
F 0.1191 0.8809 0.2500  2 Tm 2.18
F 0.2341 0.3272 0.4077  2 Tm 2.22-2.27, 1 Na 2.34
F 0.2480 0.6433 0.0005  1 F 2.23, 1 Tm 2.33, 2 Na 2.43-2.46
F 0.3272 0.2341 0.9077  2 Tm 2.22-2.27, 1 Na 2.34
F 0.3567 0.7520 0.4995  1 F 2.23, 1 Tm 2.33, 2 Na 2.43-2.46
F 0.6433 0.2480 0.5005  1 F 2.23, 1 Tm 2.33, 2 Na 2.43-2.46
F 0.6728 0.7659 0.0923  2 Tm 2.22-2.27, 1 Na 2.34
F 0.7520 0.3567 0.9995  1 F 2.23, 1 Tm 2.33, 2 Na 2.43-2.46
F 0.7659 0.6728 0.5923  2 Tm 2.22-2.27, 1 Na 2.34
F 0.8809 0.1191 0.7500  2 Tm 2.18

Summary:
Density of states at the Fermi level, states/eV/cell: 0.6
Total magnetic moment, μB per formula unit: 1.0

***

DFT (PBE) results for a relaxed Na3TmF8 crystal.

a b c (Å): 5.4833 5.4833 5.4833
angles (deg): 90.00 90.00 90.00
With the nearest neighbours (Å) after each atom.
Fractional positions:
Na 0.0000 0.0000 0.5000  8 F 2.42
Na 0.0000 0.5000 0.0000  8 F 2.42
Na 0.5000 0.0000 0.0000  8 F 2.42
Tm 0.5000 0.5000 0.5000  8 F 2.24
F 0.2642 0.2642 0.2642  1 Tm 2.24, 3 Na 2.42
F 0.2642 0.2642 0.7358  1 Tm 2.24, 3 Na 2.42
F 0.2642 0.7358 0.2642  1 Tm 2.24, 3 Na 2.42
F 0.2642 0.7358 0.7358  1 Tm 2.24, 3 Na 2.42
F 0.7358 0.2642 0.2642  1 Tm 2.24, 3 Na 2.42
F 0.7358 0.2642 0.7358  1 Tm 2.24, 3 Na 2.42
F 0.7358 0.7358 0.2642  1 Tm 2.24, 3 Na 2.42
F 0.7358 0.7358 0.7358  1 Tm 2.24, 3 Na 2.42

Summary:
Density of states at the Fermi level, states/eV/cell: 11.9
Total magnetic moment, μB per formula unit: 2.0

***

DFT (PBE) results for a relaxed NaTm4F12 crystal.

a b c (Å): 7.3767 7.3767 7.3767
angles (deg): 110.01 109.24 109.16
With the nearest neighbours (Å) after each atom.
Fractional positions:
Na 0.0000 0.0000 0.0000  8 F 2.62-2.64
Tm 0.0000 0.0000 0.5000  6 F 2.15-2.18
Tm 0.0000 0.5000 0.0000  6 F 2.15-2.18
Tm 0.5000 0.0000 0.0000  6 F 2.15-2.18
Tm 0.5000 0.5000 0.5000  6 F 2.15-2.18
F 0.0006 0.7187 0.2818  2 Tm 2.15
F 0.2322 0.0307 0.7985  2 Tm 2.18
F 0.2322 0.4337 0.2015  2 Tm 2.18
F 0.2344 0.2029 0.4373  2 Tm 2.18
F 0.2344 0.7971 0.0315  2 Tm 2.18
F 0.4369 0.7187 0.7182  2 Tm 2.15
F 0.5631 0.2813 0.2818  2 Tm 2.15
F 0.7656 0.2029 0.9685  2 Tm 2.18
F 0.7656 0.7971 0.5627  2 Tm 2.18
F 0.7678 0.5663 0.7985  2 Tm 2.18
F 0.7678 0.9693 0.2015  2 Tm 2.18
F 0.9994 0.2813 0.7182  2 Tm 2.15

Summary:
Density of states at the Fermi level, states/eV/cell: 2.6
Total magnetic moment, μB per formula unit: 0.0

***

DFT (PBE) results for a relaxed Na3TmF8 crystal.

a b c (Å): 6.8277 6.8277 6.8277
angles (deg): 133.54 133.54 67.81
With the nearest neighbours (Å) after each atom.
Fractional positions:
Na 0.0000 0.0000 0.0000  8 F 2.41
Na 0.2500 0.7500 0.5000  8 F 2.43
Na 0.7500 0.2500 0.5000  8 F 2.43
Tm 0.5000 0.5000 0.0000  8 F 2.24
F 0.1460 0.1460 0.5269  1 Tm 2.24, 3 Na 2.41-2.43
F 0.1460 0.6191 0.0000  1 Tm 2.24, 3 Na 2.41-2.43
F 0.3809 0.3809 0.5269  1 Tm 2.24, 3 Na 2.41-2.43
F 0.3809 0.8540 0.0000  1 Tm 2.24, 3 Na 2.41-2.43
F 0.6191 0.1460 0.0000  1 Tm 2.24, 3 Na 2.41-2.43
F 0.6191 0.6191 0.4731  1 Tm 2.24, 3 Na 2.41-2.43
F 0.8540 0.3809 0.0000  1 Tm 2.24, 3 Na 2.41-2.43
F 0.8540 0.8540 0.4731  1 Tm 2.24, 3 Na 2.41-2.43

Summary:
Density of states at the Fermi level, states/eV/cell: 10.9
Total magnetic moment, μB per formula unit: 2.0

***

The records above give, respectively, formation energy (no corrections) values of -2110.5, -2213.6, -3111.5, -2728.6, -3850.9, -2728.8 meV/atom.